Record 1
{"formula": "Cu3Pb", "functional": "SCAN", "state": "PBEsol geometry", "lattice_angstrom": [[-2.362, -2.022, -0.303], [1.645, -1.605, -2.116], [2.432, -3.525, 4.564]], "species": ["Cu", "Cu", "Cu", "Pb"], "frac_coords": [[0.500, 0.500, 0.500], [0.000, 0.000, 0.693], [0.000, 0.000, 0.307], [0.500, 0.500, 0.000]], "energy_ev_per_cell": -120.353, "formation_enthalpy_0k_kj_per_mol_atoms": 24.7, "crystal_system": "tetragonal"}


Record 2
{"formula": "CuPb", "functional": "SCAN", "state": "PBEsol geometry", "lattice_angstrom": [[-1.792, -2.052, 2.139], [-2.299, -1.234, -3.110], [3.836, -4.460, -1.066]], "species": ["Cu", "Cu", "Pb", "Pb"], "frac_coords": [[0.000, 0.250, 0.383], [0.000, 0.750, 0.617], [0.500, 0.750, 0.227], [0.500, 0.250, 0.773]], "energy_ev_per_cell": -180.950, "formation_enthalpy_0k_kj_per_mol_atoms": 24.4, "crystal_system": "orthorhombic"}


Record 3
{"formula": "CuPtPb2", "functional": "SCAN", "state": "PBEsol geometry", "lattice_angstrom": [[3.514, 0.000, 0.000], [0.000, 4.788, 0.000], [0.000, 0.000, 4.788]], "species": ["Pt", "Cu", "Pb", "Pb"], "frac_coords": [[0.500, 0.500, 0.500], [0.500, 0.000, 0.000], [0.000, 0.000, 0.500], [0.000, 0.500, 0.000]], "energy_ev_per_cell": -236.019, "e_above_lowest_polymorph_ev_per_atom": 0.079, "formation_enthalpy_0k_kj_per_mol_atoms": 22.6, "crystal_system": "tetragonal"}